# 1
Material: TaMo5
Method: DFT, SCAN
State: PBEsol geometry

The structure in extended XYZ format:
```
6
Lattice="2.746 -0.002 0.001 0.913 5.126 0.003 0.919 1.287 6.659" Properties=species:S:1:pos:R:3 pbc="T T T"
Mo 3.652 5.123 4.426
Mo 1.829 2.562 0.002
Mo 0.925 1.287 2.237
Mo 1.841 2.569 4.417
Mo 2.736 3.841 2.246
Ta 0.000 0.000 0.000
```

Calculated values
ΔE_f in eV/atom: -0.07
Polymorph energy (0 for the lowest one) in meV per atom: 21.6
Total magnetization in μB per cell: 0.00


# 2
Material: CaBeFe2
Method: DFT, SCAN
State: PBEsol geometry

The structure in extended XYZ format:
```
4
Lattice="-1.581 0.224 -2.433 1.672 -2.015 -1.272 -3.985 -4.669 2.159" Properties=species:S:1:pos:R:3 pbc="T T T"
Ca -2.950 -4.405 -0.230
Fe -0.315 -0.369 0.171
Fe -0.960 -2.074 -1.308
Be -1.661 -1.946 0.900
```

Calculated values
ΔE_f in eV/atom: 0.34
Total magnetization in μB per cell: 4.76


# 3
Material: TlSb2Se
Method: DFT, SCAN
State: PBEsol geometry

The structure in extended XYZ format:
```
4
Lattice="-0.546 1.930 2.696 -2.010 -2.679 -0.272 6.565 -5.455 5.236" Properties=species:S:1:pos:R:3 pbc="T T T"
Sb 4.722 -3.924 3.766
Tl -1.278 -0.374 1.212
Se 2.005 -3.102 3.830
Sb 1.843 -1.531 1.470
```

Calculated values
Total magnetization in μB per cell: 0.00


# 4
Material: Ba3Br2O2
Method: DFT, SCAN
State: PBEsol geometry

The structure in extended XYZ format:
```
14
Lattice="-0.263 -3.968 -6.306 5.043 -2.577 5.228 -5.767 -4.744 3.225" Properties=species:S:1:pos:R:3 pbc="T T T"
Ba 3.081 -4.182 1.864
Ba -0.071 -7.183 2.072
O 0.530 -4.667 2.070
Br -2.768 -5.851 3.797
Br -1.845 -5.059 -3.646
Ba 0.000 0.000 0.000
O -1.516 -6.622 0.076
O -0.385 -2.057 -1.443
Ba -0.915 -4.106 0.074
Ba -0.362 -3.660 4.226
Br 1.783 -5.437 -1.650
O -0.601 -9.232 3.589
Ba -4.066 -7.107 0.282
Br 0.860 -6.229 5.792
```

Calculated values
Polymorph energy (0 for the lowest one) in meV per atom: 2.2
Total magnetization in μB per cell: 0.00


Looking at energy for the records above, in order, we have -40.243 -12.234 -41.533 -26.905 eV per atom.